Record 1
Compound: LiSi2Au
Source: Alexandria
Functional: PBE-GGA
Structure: optimized geometry

Computed properties:
D(E_F), states/eV per atom: 0.180
Energy above the lowest structure with this stoichiometry, meV per atom: 97
Formation energy from raw total energies, eV per atom: -0.01

Cell: 8.998 2.934 4.669 Å, 90.00 95.80 90.00°
Space group Cm (No. 8)
One atom of each set of equivalent atoms:
Li: 0.000 0.000 0.000
Si: 0.247 0.000 0.740
Si: 0.493 0.000 0.508
Au: 0.243 0.500 0.219

=====

Record 2
Compound: Co2AgSb
Source: Alexandria
Functional: PBE-GGA
Structure: optimized geometry

Computed properties:
D(E_F), states/eV per atom: 0.894
Formation energy from raw total energies, eV per atom: 0.29

Cell: 3.100 3.100 6.921 Å, 90.00 90.00 90.00°
Space group P4mm (No. 99)
One atom of each set of equivalent atoms:
Co: 0.000 0.000 0.000
Co: 0.500 0.500 0.151
Ag: 0.500 0.500 0.753
Sb: 0.000 0.000 0.395

=====

Record 3
Compound: Ni2AgPdN
Source: Alexandria
Functional: PBE-GGA
Structure: optimized geometry

Computed properties:
D(E_F), states/eV per atom: 1.259
Energy above the lowest structure with this stoichiometry, meV per atom: 133
Formation energy from raw total energies, eV per atom: 0.23

Cell: 3.768 3.768 4.439 Å, 90.00 90.00 90.00°
Space group P4/mmm (No. 123)
One atom of each set of equivalent atoms:
Ni: 0.000 0.500 0.000
Ag: 0.000 0.000 0.500
Pd: 0.500 0.500 0.500
N: 0.000 0.000 0.000